VASP calculation (PBE-GGA) on a geometry-optimized BaZrGe3 structure.

Summary:
Its total magnetization is 0.00 μB/f.u. The crystal system is cubic. The calculation puts the distance to the lowest polymorph of the same formula at 1750 meV per atom. As for the total energy: -3.402 eV per atom. The formation energy comes out at 1.4630 eV/atom. For the density of states at the Fermi level, the calculation gives 0.891 states/eV/atom.

abc: 5.4547 5.4547 5.4547
angles: 90.00 90.00 90.00
Last column: nearest neighbours and their distance in Å.
Sites, in units of the cell vectors:
Ge: 0.0000 0.5000 0.0000  2 Ba 2.73
Ge: 0.0000 0.0000 0.5000  2 Ba 2.73
Ge: 0.5000 0.0000 0.0000  2 Ba 2.73
Ba: 0.0000 0.0000 0.0000  6 Ge 2.73
Zr: 0.5000 0.5000 0.5000  12 Ge 3.86

VASP calculation (PBE-GGA) on a geometry-optimized EuAl2Zn structure.

Summary:
Its total magnetization is 7.90 μB/f.u. The crystal system is trigonal. As for the total energy: -4.442 eV per atom. The formation energy comes out at 0.3161 eV/atom. For the density of states at the Fermi level, the calculation gives 0.678 states/eV/atom.

abc: 3.1218 3.1218 10.5367
angles: 81.48 81.48 60.00
Last column: nearest neighbours and their distance in Å.
Sites, in units of the cell vectors:
Eu: 0.0000 0.0000 0.0000  2 Al 3.10, 6 Eu 3.12
Zn: 0.5000 0.5000 0.5000  6 Al 2.76
Al: 0.0996 0.0996 0.7013  3 Zn 2.76
Al: 0.9004 0.9004 0.2987  3 Zn 2.76

VASP calculation (PBE-GGA) on a geometry-optimized CeGePRh structure.

Summary:
Its total magnetization is 0.41 μB/f.u. The crystal system is tetragonal. As for the total energy: -6.787 eV per atom. The formation energy comes out at -0.9593 eV/atom. For the density of states at the Fermi level, the calculation gives 1.139 states/eV/atom.

abc: 4.0976 4.0976 9.4062
angles: 90.00 90.00 90.00
Last column: nearest neighbours and their distance in Å.
Sites, in units of the cell vectors:
Ce: 0.0000 0.5000 0.8107  5 P 2.85-2.98
Ce: 0.5000 0.0000 0.1893  5 P 2.85-2.98
Ge: 0.0000 0.5000 0.3602  1 P 2.32, 4 Rh 2.43
Ge: 0.5000 0.0000 0.6398  1 P 2.32, 4 Rh 2.43
P: 0.5000 0.0000 0.8862  1 Ge 2.32
P: 0.0000 0.5000 0.1138  1 Ge 2.32
Rh: 0.0000 0.0000 0.5000  4 Ge 2.43
Rh: 0.5000 0.5000 0.5000  4 Ge 2.43

VASP calculation (PBE-GGA) on a geometry-optimized Pm12Nd7Er structure.

Summary:
Its total magnetization is 0.00 μB/f.u. The crystal system is cubic. The calculation puts the distance to the lowest polymorph of the same formula at 384 meV per atom. As for the total energy: -4.144 eV per atom. The formation energy comes out at 0.6034 eV/atom. For the density of states at the Fermi level, the calculation gives 1.378 states/eV/atom.

abc: 10.0359 10.0359 10.0359
angles: 109.47 109.47 109.47
Last column: nearest neighbours and their distance in Å.
Sites, in units of the cell vectors:
Pm: 0.5070 0.7532 0.7538  2 Nd 2.90
Pm: 0.9993 0.7532 0.2462  2 Nd 2.90
Pm: 0.4930 0.2468 0.2462  2 Nd 2.90
Pm: 0.0007 0.2468 0.7538  2 Nd 2.90
Pm: 0.7538 0.0007 0.2468  2 Nd 2.90
Pm: 0.7538 0.5070 0.7532  2 Nd 2.90
Pm: 0.2462 0.9993 0.7532  2 Nd 2.90
Pm: 0.2462 0.4930 0.2468  2 Nd 2.90
Pm: 0.7532 0.7538 0.5070  2 Nd 2.90
Pm: 0.2468 0.2462 0.4930  2 Nd 2.90
Pm: 0.7532 0.2462 0.9993  2 Nd 2.90
Pm: 0.2468 0.7538 0.0007  2 Nd 2.90
Nd: 0.5000 0.5000 0.0000  12 Pm 4.09-4.15
Nd: 0.0000 0.5000 0.5000  12 Pm 4.09-4.15
Nd: 0.5000 0.0000 0.5000  12 Pm 4.09-4.15
Nd: 0.5000 0.5000 0.5000  6 Pm 2.90
Nd: 0.0000 0.0000 0.5000  6 Pm 2.90
Nd: 0.5000 0.0000 0.0000  6 Pm 2.90
Nd: 0.0000 0.5000 0.0000  6 Pm 2.90
Er: 0.0000 0.0000 0.0000  12 Pm 4.04

VASP calculation (PBE-GGA) on a geometry-optimized SiHgSb2 structure.

Summary:
Its total magnetization is 0.00 μB/f.u. The crystal system is monoclinic. The calculation puts the raw formation energy at 0.9 eV per formula unit. As for the total energy: -3.268 eV per atom. For the density of states at the Fermi level, the calculation gives 0.405 states/eV/atom.

abc: 3.9836 3.0330 9.1544
angles: 109.50 90.00 90.00
Last column: nearest neighbours and their distance in Å.
Sites, in units of the cell vectors:
Hg: 0.5000 0.7500 0.7500  2 Hg 3.03, 4 Sb 3.13
Sb: 0.0000 0.0285 0.0302  2 Si 2.75, 2 Sb 3.03
Sb: 0.0000 0.4715 0.4698  2 Si 2.75, 2 Sb 3.03
Si: 0.5000 0.2500 0.2500  4 Sb 2.75, 2 Si 3.03

VASP calculation (PBE-GGA) on a geometry-optimized K2CuRe structure.

Summary:
Its total magnetization is 1.87 μB/f.u. The crystal system is tetragonal. The calculation puts the distance to the lowest polymorph of the same formula at 643 meV per atom. As for the total energy: -3.139 eV per atom. The formation energy comes out at 1.5459 eV/atom. For the density of states at the Fermi level, the calculation gives 0.656 states/eV/atom.

abc: 3.9924 3.9924 5.5680
angles: 90.00 90.00 90.00
Last column: nearest neighbours and their distance in Å.
Sites, in units of the cell vectors:
Cu: 0.0000 0.5000 0.5000  4 Re 2.82
K: 0.0000 0.0000 0.0000  4 K 2.82
K: 0.5000 0.5000 0.0000  4 K 2.82
Re: 0.5000 0.0000 0.5000  4 Cu 2.82

> Which value of density of states at the Fermi level does entry 2 give?

0.678 states/eV/atom

> Number 5 is which compound?

SiHgSb2

> The highest density of states at the Fermi level belongs to which entry?

Pm12Nd7Er